Below is a geometry-optimized LiDy2Zn12Ni3 structure, with properties calculated at the PBE level.

Results
As for the space-group type: R-3m. Its density of states at the Fermi level is 0.477 states/eV per atom. The calculation puts the energy at -0.16592 Ry per atom. The volume is 357 Å³/cell. The calculation puts the formation energy from the elements at 0.173 eV per atom.

a b c (Å): 7.537 7.537 7.537
angles (deg): 68.56 68.56 68.56
Fractional coordinates of all 18 atoms:
Li 0.000 0.000 0.000
Dy 0.406 0.406 0.406
Dy 0.594 0.594 0.594
Zn 0.146 0.146 0.614
Zn 0.146 0.614 0.146
Zn 0.156 0.720 0.720
Zn 0.280 0.280 0.844
Zn 0.280 0.844 0.280
Zn 0.386 0.853 0.854
Zn 0.614 0.146 0.146
Zn 0.720 0.156 0.720
Zn 0.720 0.720 0.156
Zn 0.844 0.280 0.280
Zn 0.854 0.386 0.854
Zn 0.854 0.854 0.386
Ni 0.000 0.000 0.500
Ni 0.000 0.500 0.000
Ni 0.500 0.000 0.000